Entry from Alexandria: Sr2LaHg2 at its PBEsol-relaxed geometry (meta-GGA SCAN).

```
data_Sr2LaHg2
_chemical_formula_sum 'Sr4 La2 Hg4'
_cell_length_a 8.551
_cell_length_b 8.551
_cell_length_c 4.501
_cell_angle_alpha 90.00
_cell_angle_beta 90.00
_cell_angle_gamma 90.00
_space_group_name_H-M_alt 'P 4/m b m'
_space_group_IT_number 127
_space_group_name_Hall '-P 4 2ab'
loop_
_atom_site_label
_atom_site_fract_x
_atom_site_fract_y
_atom_site_fract_z
_atom_site_occupancy
Sr1 0.160 0.340 0.000 1
La1 0.000 0.000 0.500 1
Hg1 0.137 0.637 0.500 1
```

D(E_F)   9.34 states/eV per cell
ΔE_f   -0.536 eV/atom